Li3AlPt4: relaxed, PBE-GGA.

Lattice parameters (Å, degrees): 4.2136 4.2136 11.8853 90.00 90.00 90.00
Closest atoms and distances in Å follow each position.
Space group I4/mmm (No. 139)
One atom of each set of equivalent atoms:
Li (0.0000, 0.0000, 0.0000)  8 Pt 2.58
Li (0.0000, 0.0000, 0.2471)  8 Pt 2.55-2.59
Al (0.0000, 0.0000, 0.5000)  8 Pt 2.58
Pt (0.0000, 0.5000, 0.1259)  6 Li 2.55-2.59, 2 Al 2.58

Calculated values
formation energy from the elements = -0.769 eV/atom



TeIr2Br: relaxed, PBE-GGA.

Lattice parameters (Å, degrees): 3.4666 3.4666 22.6898 90.00 90.00 120.00
Closest atoms and distances in Å follow each position.
Space group R-3m (No. 166, hexagonal axes)
One atom of each set of equivalent atoms:
Te (0.0000, 0.0000, 0.0000)  6 Ir 2.63
Ir (0.0000, 0.0000, 0.2580)  3 Te 2.63, 3 Br 2.88
Br (0.0000, 0.0000, 0.5000)  6 Ir 2.88

Calculated values
uncorrected formation energy = 2.58 eV/f.u.



ZrAsCl: relaxed, PBE-GGA.

Lattice parameters (Å, degrees): 3.9910 4.7742 15.1674 90.00 90.00 90.00
Closest atoms and distances in Å follow each position.
Space group Fmm2 (No. 42)
One atom of each set of equivalent atoms:
Zr (0.0000, 0.0000, 0.0000)  4 Cl 2.65-2.95, 2 As 2.81
As (0.0000, 0.0000, 0.6309)  4 Zr 2.81-3.10, 4 As 3.11
Cl (0.0000, 0.0000, 0.3855)  4 Zr 2.65-2.95

Calculated values
uncorrected formation energy = -2.67 eV/f.u.



SbOs: relaxed, PBE-GGA.

Lattice parameters (Å, degrees): 13.3805 3.0402 6.8300 90.00 117.70 90.00
Closest atoms and distances in Å follow each position.
Space group Cm (No. 8)
One atom of each set of equivalent atoms:
Sb (0.0000, 0.0000, 0.0000)  3 Os 2.67-2.68
Sb (0.1128, 0.5000, 0.7078)  5 Os 2.86-2.96, 2 Sb 3.04
Sb (0.3595, 0.0000, 0.1989)  4 Os 2.71-2.73, 2 Sb 3.04
Os (0.1861, 0.5000, 0.1751)  3 Os 2.65-2.84, 5 Sb 2.68-2.87
Os (0.2302, 0.0000, 0.5235)  4 Os 2.65, 2 Sb 2.86
Os (0.3998, 0.5000, 0.5592)  3 Os 2.65-2.84, 5 Sb 2.67-2.96

Calculated values
uncorrected formation energy = 0.96 eV/f.u.



CuTc2Hg: relaxed, PBE-GGA.

Lattice parameters (Å, degrees): 2.7990 2.7990 27.5866 90.00 90.00 120.00
Closest atoms and distances in Å follow each position.
Space group R-3m (No. 166, hexagonal axes)
One atom of each set of equivalent atoms:
Cu (0.0000, 0.0000, 0.0000)  6 Tc 2.66, 6 Cu 2.80
Tc (0.0000, 0.0000, 0.2566)  3 Cu 2.66, 6 Tc 2.80, 3 Hg 2.96
Hg (0.0000, 0.0000, 0.5000)  6 Hg 2.80, 6 Tc 2.96

Calculated values
formation energy from the elements = 0.594 eV/atom



ReMoW2: relaxed, PBE-GGA.

Lattice parameters (Å, degrees): 6.3201 6.3201 6.3201 90.00 90.00 90.00
Closest atoms and distances in Å follow each position.
Space group Fm-3m (No. 225)
One atom of each set of equivalent atoms:
Re (0.0000, 0.0000, 0.0000)  8 W 2.74
Mo (0.0000, 0.0000, 0.5000)  8 W 2.74
W (0.2500, 0.2500, 0.2500)  4 Mo 2.74, 4 Re 2.74

Calculated values
formation energy from the elements = 0.007 eV/atom



Pm2PtO: relaxed, PBE-GGA.

Lattice parameters (Å, degrees): 4.3293 4.3293 22.0215 90.00 90.00 120.00
Closest atoms and distances in Å follow each position.
Space group R-3m (No. 166, hexagonal axes)
One atom of each set of equivalent atoms:
Pm (0.0000, 0.0000, 0.0957)  1 O 2.11
Pt (0.0000, 0.0000, 0.5000)  6 Pm 2.95
O (0.0000, 0.0000, 0.0000)  2 Pm 2.11

Calculated values
uncorrected formation energy = -6.63 eV/f.u.



Y2MgW: relaxed, PBE-GGA.

Lattice parameters (Å, degrees): 4.4956 4.4956 9.2747 90.00 90.00 90.00
Closest atoms and distances in Å follow each position.
Space group I-4m2 (No. 119)
One atom of each set of equivalent atoms:
Y (0.0000, 0.0000, 0.0000)  4 W 3.18, 4 Mg 3.23, 4 Y 3.23
Y (0.0000, 0.5000, 0.2500)  4 Mg 3.18, 4 Y 3.23, 4 W 3.23
Mg (0.0000, 0.5000, 0.7500)  8 Y 3.18-3.23, 4 W 3.23
W (0.0000, 0.0000, 0.5000)  8 Y 3.18-3.23, 4 Mg 3.23

Calculated values
formation energy from the elements = 0.446 eV/atom



Pm6Pr3Nd2Pb: relaxed, PBE-GGA.

Lattice parameters (Å, degrees): 6.2831 10.9066 12.0616 90.00 100.18 90.00
Closest atoms and distances in Å follow each position.
Space group C2/m (No. 12)
One atom of each set of equivalent atoms:
Pm (0.2418, 0.0000, 0.2522)  6 Pm 3.53-3.69, 1 Pb 3.58, 2 Nd 3.62, 3 Pr 3.65-3.69
Pm (0.2436, 0.1621, 0.7456)  6 Pm 3.53-3.69, 1 Pb 3.55, 2 Nd 3.61, 3 Pr 3.66-3.69
Pr (0.0000, 0.1695, 0.0000)  6 Pr 3.60-3.70, 6 Pm 3.65-3.69
Pr (0.0000, 0.5000, 0.0000)  6 Pr 3.60-3.65, 6 Pm 3.66-3.69
Nd (0.0000, 0.3343, 0.5000)  6 Pm 3.61-3.62, 3 Nd 3.61-3.64, 3 Pb 3.62-3.65
Pb (0.0000, 0.0000, 0.5000)  6 Pm 3.55-3.58, 6 Nd 3.62-3.65

Calculated values
formation energy from the elements = -0.063 eV/atom



TaCuAs2: relaxed, PBE-GGA.

Lattice parameters (Å, degrees): 6.4121 6.4121 6.4121 90.00 90.00 90.00
Closest atoms and distances in Å follow each position.
Space group Fm-3m (No. 225)
One atom of each set of equivalent atoms:
Ta (0.0000, 0.0000, 0.0000)  8 As 2.78
Cu (0.0000, 0.0000, 0.5000)  8 As 2.78
As (0.2500, 0.2500, 0.2500)  4 Ta 2.78, 4 Cu 2.78

Calculated values
formation energy from the elements = 0.198 eV/atom



Dy4Er3Ru4: relaxed, PBE-GGA.

Lattice parameters (Å, degrees): 3.5016 8.8275 16.2913 90.00 90.00 90.00
Closest atoms and distances in Å follow each position.
Space group Immm (No. 71)
One atom of each set of equivalent atoms:
Dy (0.0000, 0.1912, 0.1644)  4 Ru 2.78-2.99
Er (0.0000, 0.0000, 0.4034)  6 Ru 2.92-3.07, 1 Er 3.15
Er (0.0000, 0.5000, 0.5000)  4 Ru 3.00
Ru (0.0000, 0.2766, 0.0000)  2 Dy 2.78, 6 Er 3.00-3.07
Ru (0.0000, 0.5000, 0.2403)  6 Dy 2.89-2.99, 2 Er 2.92

Calculated values
formation energy from the elements = -0.328 eV/atom



BaNaAcSn: relaxed, PBE-GGA.

Lattice parameters (Å, degrees): 8.4263 8.4263 8.4263 90.00 90.00 90.00
Closest atoms and distances in Å follow each position.
Space group F-43m (No. 216)
One atom of each set of equivalent atoms:
Ba (0.0000, 0.0000, 0.0000)  4 Sn 3.65, 4 Na 3.65
Na (0.2500, 0.2500, 0.2500)  4 Ba 3.65, 4 Ac 3.65
Ac (0.0000, 0.0000, 0.5000)  4 Sn 3.65, 4 Na 3.65
Sn (0.2500, 0.2500, 0.7500)  4 Ba 3.65, 4 Ac 3.65

Calculated values
formation energy from the elements = -0.319 eV/atom



no.,V (Å³/atom)
1,13.188
2,19.678
3,24.083
4,20.500
5,15.597
6,15.778
7,29.787
8,23.431
9,33.897
10,16.477
11,22.890
12,37.394